Density functional theory data (PBE-GGA) for CaPm7Dy4 after structural relaxation.

Results
**E**: -4.4486 eV/atom
**Calculated volume**: 406 Å³/cell
**Formation energy from the elements**: 2.3 kJ per mole of atoms

a b c (Å): 6.3324 7.3139 9.0214
angles (deg): 89.86 76.58 89.99
Space group P-1 (No. 2)
Asymmetric unit:
1 Ca 0.0000 0.0000 0.0000
2 Pm 0.0000 0.5000 0.0000
3 Pm 0.2253 0.9998 0.3410
4 Pm 0.2827 0.2549 0.6622
5 Pm 0.4987 0.7420 0.9995
6 Dy 0.2196 0.4996 0.3327
7 Dy 0.2820 0.7445 0.6634



Density functional theory data (PBE-GGA) for NiAgIN2 after structural relaxation.

Results
**E**: -4.0866 eV/atom
**Energy above the most stable polymorph in this dataset**: 0.0 meV/atom
**Calculated volume**: 108 Å³/cell
**Uncorrected formation energy**: 1.280 eV per atom

a b c (Å): 3.7500 3.7500 7.6854
angles (deg): 90.00 90.00 90.00
Space group P4/mmm (No. 123)
Asymmetric unit:
1 Ni 0.0000 0.0000 0.0000
2 Ag 0.5000 0.5000 0.5000
3 I 0.0000 0.0000 0.5000
4 N 0.0000 0.5000 0.0000



Density functional theory data (PBE-GGA) for Cd2MoP after structural relaxation.

Results
**E**: -3.9933 eV/atom
**Calculated volume**: 73 Å³/cell
**Formation energy from the elements**: 50.6 kJ per mole of atoms

a b c (Å): 2.7977 4.8807 5.3113
angles (deg): 90.00 90.00 90.00
Space group Pmmm (No. 47)
Asymmetric unit:
1 Cd 0.0000 0.0000 0.2466
2 Mo 0.5000 0.5000 0.0000
3 P 0.5000 0.5000 0.5000



Density functional theory data (PBE-GGA) for Tb4SbSeS2 after structural relaxation.

Results
**E**: -6.0136 eV/atom
**Calculated volume**: 777 Å³/cell
**Uncorrected formation energy**: -1.716 eV per atom

a b c (Å): 8.1768 8.2044 11.5823
angles (deg): 90.00 90.00 90.00
Space group Imma (No. 74)
Asymmetric unit:
1 Tb 0.0000 0.0222 0.2433
2 Tb 0.2371 0.2500 0.0105
3 Sb 0.2500 0.2500 0.7500
4 Se 0.0000 0.0000 0.5000
5 S 0.0000 0.0000 0.0000
6 S 0.2500 0.2500 0.2500



Density functional theory data (PBE-GGA) for UTePd after structural relaxation.

Results
**E**: -6.9034 eV/atom
**Energy above the most stable polymorph in this dataset**: 14.0 meV/atom
**Calculated volume**: 70 Å³/cell
**Uncorrected formation energy**: -0.362 eV per atom

a b c (Å): 4.5710 4.5710 3.8520
angles (deg): 90.00 90.00 120.00
Space group P3m1 (No. 156)
Asymmetric unit:
1 U 0.0000 0.0000 0.0000
2 Te 0.6667 0.3333 0.5304
3 Pd 0.3333 0.6667 0.3748



Density functional theory data (PBE-GGA) for La2Al3AgHg4 after structural relaxation.

Results
**E**: -2.8413 eV/atom
**Calculated volume**: 235 Å³/cell
**Formation energy from the elements**: -31.6 kJ per mole of atoms

a b c (Å): 4.5796 4.5796 11.2176
angles (deg): 90.00 90.00 90.00
Space group P-4m2 (No. 115)
Asymmetric unit:
1 La 0.0000 0.5000 0.2464
2 Al 0.0000 0.5000 0.8674
3 Al 0.5000 0.5000 0.5000
4 Ag 0.0000 0.0000 0.5000
5 Hg 0.0000 0.0000 0.0000
6 Hg 0.0000 0.5000 0.6389
7 Hg 0.5000 0.5000 0.0000



Density functional theory data (PBE-GGA) for Ce2UGe3 after structural relaxation.

Results
**E**: -6.4256 eV/atom
**Calculated volume**: 290 Å³/cell
**Formation energy from the elements**: -24.9 kJ per mole of atoms

a b c (Å): 3.0052 5.5871 17.2482
angles (deg): 90.00 90.00 90.00
Space group Immm (No. 71)
Asymmetric unit:
1 Ce 0.0000 0.0000 0.1575
2 U 0.0000 0.0000 0.5000
3 Ge 0.0000 0.0000 0.3320
4 Ge 0.0000 0.5000 0.5000